# 1
Below is a PBEsol-optimized structure of Fe15Co, with properties calculated at the SCAN level.

Structure (CIF):
```
data_Fe15Co
_space_group_name_H-M_alt 'P 1'
_space_group_IT_number 1
_cell_length_a 5.572
_cell_length_b 5.572
_cell_length_c 5.572
_cell_angle_alpha 90.00
_cell_angle_beta 90.00
_cell_angle_gamma 90.00
loop_
_space_group_symop_operation_xyz
'x,y,z'
loop_
_atom_site_label
_atom_site_type_symbol
_atom_site_fract_x
_atom_site_fract_y
_atom_site_fract_z
_atom_site_occupancy
Fe1 Fe 0.250 0.250 0.250 1
Fe2 Fe 0.750 0.750 0.250 1
Fe3 Fe 0.250 0.750 0.250 1
Fe4 Fe 0.750 0.250 0.250 1
Fe5 Fe 0.000 0.500 0.500 1
Fe6 Fe 0.500 0.500 0.000 1
Co1 Co 0.000 0.000 0.000 1
Fe7 Fe 0.000 0.000 0.500 1
Fe8 Fe 0.500 0.500 0.500 1
Fe9 Fe 0.500 0.000 0.500 1
Fe10 Fe 0.750 0.250 0.750 1
Fe11 Fe 0.250 0.250 0.750 1
Fe12 Fe 0.500 0.000 0.000 1
Fe13 Fe 0.750 0.750 0.750 1
Fe14 Fe 0.000 0.500 0.000 1
Fe15 Fe 0.250 0.750 0.750 1
```

Space-group type: Pm-3m, No. 221
DFT total energy in eV/atom: -18.12
Calculated density in g cm⁻³: 8.6
Crystal system: cubic


# 2
Below is a PBEsol-optimized structure of Fe5Co3, with properties calculated at the SCAN level.

Structure (CIF):
```
data_Fe5Co3
_space_group_name_H-M_alt 'P 1'
_space_group_IT_number 1
_cell_length_a 2.420
_cell_length_b 4.621
_cell_length_c 7.907
_cell_angle_alpha 90.00
_cell_angle_beta 90.00
_cell_angle_gamma 99.89
loop_
_space_group_symop_operation_xyz
'x,y,z'
loop_
_atom_site_label
_atom_site_type_symbol
_atom_site_fract_x
_atom_site_fract_y
_atom_site_fract_z
_atom_site_occupancy
Co1 Co 0.742 0.749 0.000 1
Fe1 Fe 0.500 0.000 0.752 1
Co2 Co 0.258 0.251 0.000 1
Fe2 Fe 0.000 0.500 0.751 1
Fe3 Fe 0.753 0.750 0.499 1
Co3 Co 0.000 0.500 0.250 1
Fe4 Fe 0.247 0.250 0.499 1
Fe5 Fe 0.500 0.000 0.247 1
```

E above lowest polymorph in meV per atom: 101
Space-group type: P2, No. 3
Calculated density in g cm⁻³: 8.7
Crystal system: monoclinic


# 3
Below is a PBEsol-optimized structure of Fe5Co2, with properties calculated at the SCAN level.

Structure (CIF):
```
data_Fe5Co2
_space_group_name_H-M_alt 'P 1'
_space_group_IT_number 1
_cell_length_a 2.785
_cell_length_b 4.646
_cell_length_c 6.273
_cell_angle_alpha 97.92
_cell_angle_beta 90.00
_cell_angle_gamma 107.44
loop_
_space_group_symop_operation_xyz
'x,y,z'
loop_
_atom_site_label
_atom_site_type_symbol
_atom_site_fract_x
_atom_site_fract_y
_atom_site_fract_z
_atom_site_occupancy
Fe1 Fe 0.000 0.000 0.500 1
Co1 Co 0.714 0.427 0.643 1
Fe2 Fe 0.572 0.145 0.215 1
Co2 Co 0.286 0.573 0.357 1
Fe3 Fe 0.428 0.855 0.785 1
Fe4 Fe 0.143 0.286 0.927 1
Fe5 Fe 0.857 0.714 0.073 1
```

E above lowest polymorph in meV per atom: 29
Space-group type: C2/m, No. 12
Calculated density in g cm⁻³: 8.6
Crystal system: monoclinic


# 4
Below is a PBEsol-optimized structure of FeCo6, with properties calculated at the SCAN level.

Structure (CIF):
```
data_FeCo6
_space_group_name_H-M_alt 'P 1'
_space_group_IT_number 1
_cell_length_a 3.912
_cell_length_b 4.589
_cell_length_c 4.602
_cell_angle_alpha 95.08
_cell_angle_beta 90.00
_cell_angle_gamma 115.23
loop_
_space_group_symop_operation_xyz
'x,y,z'
loop_
_atom_site_label
_atom_site_type_symbol
_atom_site_fract_x
_atom_site_fract_y
_atom_site_fract_z
_atom_site_occupancy
Fe1 Fe 0.500 0.000 0.500 1
Co1 Co 0.929 0.858 0.218 1
Co2 Co 0.358 0.716 0.919 1
Co3 Co 0.642 0.284 0.081 1
Co4 Co 0.780 0.559 0.649 1
Co5 Co 0.071 0.142 0.782 1
Co6 Co 0.220 0.441 0.351 1
```

E above lowest polymorph in meV per atom: 5
Space-group type: C2/m, No. 12
Calculated density in g cm⁻³: 9.1
Crystal system: monoclinic


# 5
Below is a PBEsol-optimized structure of Fe5Co3, with properties calculated at the SCAN level.

Structure (CIF):
```
data_Fe5Co3
_space_group_name_H-M_alt 'P 1'
_space_group_IT_number 1
_cell_length_a 2.797
_cell_length_b 3.956
_cell_length_c 7.915
_cell_angle_alpha 90.00
_cell_angle_beta 90.00
_cell_angle_gamma 90.00
loop_
_space_group_symop_operation_xyz
'x,y,z'
loop_
_atom_site_label
_atom_site_type_symbol
_atom_site_fract_x
_atom_site_fract_y
_atom_site_fract_z
_atom_site_occupancy
Fe1 Fe 0.500 0.500 0.250 1
Co1 Co 0.000 0.000 0.751 1
Co2 Co 0.000 0.000 0.249 1
Fe2 Fe 0.500 0.500 0.750 1
Fe3 Fe 0.500 0.000 0.500 1
Co3 Co 0.000 0.500 0.000 1
Fe4 Fe 0.000 0.500 0.500 1
Fe5 Fe 0.500 0.000 0.000 1
```

E above lowest polymorph in meV per atom: 4
Space-group type: Pmmm, No. 47
Calculated density in g cm⁻³: 8.6
Crystal system: orthorhombic


# 6
Below is a PBEsol-optimized structure of Fe5Co3, with properties calculated at the SCAN level.

Structure (CIF):
```
data_Fe5Co3
_space_group_name_H-M_alt 'P 1'
_space_group_IT_number 1
_cell_length_a 3.957
_cell_length_b 3.957
_cell_length_c 6.828
_cell_angle_alpha 73.16
_cell_angle_beta 73.16
_cell_angle_gamma 60.00
loop_
_space_group_symop_operation_xyz
'x,y,z'
loop_
_atom_site_label
_atom_site_type_symbol
_atom_site_fract_x
_atom_site_fract_y
_atom_site_fract_z
_atom_site_occupancy
Fe1 Fe 0.876 0.876 0.373 1
Co1 Co 0.375 0.375 0.876 1
Fe2 Fe 0.251 0.251 0.247 1
Co2 Co 0.625 0.625 0.124 1
Fe3 Fe 0.124 0.124 0.627 1
Fe4 Fe 0.500 0.500 0.500 1
Fe5 Fe 0.749 0.749 0.753 1
Co3 Co 0.000 0.000 0.000 1
```

E above lowest polymorph in meV per atom: 87
Space-group type: R-3m, No. 166
Calculated density in g cm⁻³: 8.7
Crystal system: trigonal


# 7
Below is a PBEsol-optimized structure of Fe5Co3, with properties calculated at the SCAN level.

Structure (CIF):
```
data_Fe5Co3
_space_group_name_H-M_alt 'P 1'
_space_group_IT_number 1
_cell_length_a 3.965
_cell_length_b 4.828
_cell_length_c 4.828
_cell_angle_alpha 109.42
_cell_angle_beta 90.00
_cell_angle_gamma 90.00
loop_
_space_group_symop_operation_xyz
'x,y,z'
loop_
_atom_site_label
_atom_site_type_symbol
_atom_site_fract_x
_atom_site_fract_y
_atom_site_fract_z
_atom_site_occupancy
Co1 Co 0.500 0.500 0.500 1
Co2 Co 0.000 0.249 0.249 1
Fe1 Fe 0.000 0.749 0.251 1
Fe2 Fe 0.500 0.000 0.000 1
Co3 Co 0.000 0.751 0.751 1
Fe3 Fe 0.500 0.500 0.000 1
Fe4 Fe 0.500 0.000 0.500 1
Fe5 Fe 0.000 0.251 0.749 1
```

E above lowest polymorph in meV per atom: 63
Space-group type: Cmmm, No. 65
Calculated density in g cm⁻³: 8.7
Crystal system: orthorhombic


# 8
Below is a PBEsol-optimized structure of Fe7Co, with properties calculated at the SCAN level.

Structure (CIF):
```
data_Fe7Co
_space_group_name_H-M_alt 'P 1'
_space_group_IT_number 1
_cell_length_a 2.418
_cell_length_b 4.621
_cell_length_c 7.900
_cell_angle_alpha 90.00
_cell_angle_beta 90.00
_cell_angle_gamma 100.04
loop_
_space_group_symop_operation_xyz
'x,y,z'
loop_
_atom_site_label
_atom_site_type_symbol
_atom_site_fract_x
_atom_site_fract_y
_atom_site_fract_z
_atom_site_occupancy
Fe1 Fe 0.500 0.500 0.500 1
Fe2 Fe 0.000 0.000 0.500 1
Fe3 Fe 0.500 0.500 0.000 1
Fe4 Fe 0.249 0.750 0.249 1
Fe5 Fe 0.249 0.750 0.751 1
Co1 Co 0.000 0.000 0.000 1
Fe6 Fe 0.751 0.250 0.751 1
Fe7 Fe 0.751 0.250 0.249 1
```

E above lowest polymorph in meV per atom: 14
Space-group type: P2/m, No. 10
Calculated density in g cm⁻³: 8.6
Crystal system: monoclinic


# 9
Below is a PBEsol-optimized structure of FeCo7, with properties calculated at the SCAN level.

Structure (CIF):
```
data_FeCo7
_space_group_name_H-M_alt 'P 1'
_space_group_IT_number 1
_cell_length_a 3.462
_cell_length_b 3.470
_cell_length_c 6.968
_cell_angle_alpha 90.00
_cell_angle_beta 90.00
_cell_angle_gamma 90.00
loop_
_space_group_symop_operation_xyz
'x,y,z'
loop_
_atom_site_label
_atom_site_type_symbol
_atom_site_fract_x
_atom_site_fract_y
_atom_site_fract_z
_atom_site_occupancy
Co1 Co 0.500 0.000 0.000 1
Co2 Co 0.000 0.000 0.246 1
Co3 Co 0.500 0.500 0.246 1
Fe1 Fe 0.000 0.500 0.500 1
Co4 Co 0.500 0.500 0.754 1
Co5 Co 0.500 0.000 0.500 1
Co6 Co 0.000 0.500 0.000 1
Co7 Co 0.000 0.000 0.754 1
```

E above lowest polymorph in meV per atom: 42
Space-group type: P4/mmm, No. 123
Calculated density in g cm⁻³: 9.3
Crystal system: tetragonal


# 10
Below is a PBEsol-optimized structure of Fe5Co3, with properties calculated at the SCAN level.

Structure (CIF):
```
data_Fe5Co3
_space_group_name_H-M_alt 'P 1'
_space_group_IT_number 1
_cell_length_a 2.424
_cell_length_b 4.623
_cell_length_c 8.264
_cell_angle_alpha 104.77
_cell_angle_beta 95.71
_cell_angle_gamma 99.72
loop_
_space_group_symop_operation_xyz
'x,y,z'
loop_
_atom_site_label
_atom_site_type_symbol
_atom_site_fract_x
_atom_site_fract_y
_atom_site_fract_z
_atom_site_occupancy
Co1 Co 0.250 0.250 0.500 1
Fe1 Fe 0.624 0.125 0.749 1
Co2 Co 0.500 0.500 0.000 1
Fe2 Fe 0.000 0.000 0.000 1
Fe3 Fe 0.376 0.875 0.251 1
Co3 Co 0.750 0.750 0.500 1
Fe4 Fe 0.125 0.625 0.749 1
Fe5 Fe 0.875 0.375 0.251 1
```

E above lowest polymorph in meV per atom: 76
Space-group type: C2/m, No. 12
Calculated density in g cm⁻³: 8.7
Crystal system: monoclinic


# 11
Below is a PBEsol-optimized structure of Fe5Co3, with properties calculated at the SCAN level.

Structure (CIF):
```
data_Fe5Co3
_space_group_name_H-M_alt 'P 1'
_space_group_IT_number 1
_cell_length_a 2.425
_cell_length_b 4.625
_cell_length_c 7.895
_cell_angle_alpha 90.00
_cell_angle_beta 90.00
_cell_angle_gamma 99.82
loop_
_space_group_symop_operation_xyz
'x,y,z'
loop_
_atom_site_label
_atom_site_type_symbol
_atom_site_fract_x
_atom_site_fract_y
_atom_site_fract_z
_atom_site_occupancy
Fe1 Fe 0.250 0.750 0.249 1
Fe2 Fe 0.250 0.750 0.751 1
Co1 Co 0.000 0.000 0.000 1
Co2 Co 0.500 0.500 0.500 1
Fe3 Fe 0.000 0.000 0.500 1
Co3 Co 0.500 0.500 0.000 1
Fe4 Fe 0.750 0.250 0.751 1
Fe5 Fe 0.750 0.250 0.249 1
```

E above lowest polymorph in meV per atom: 76
Space-group type: P2/m, No. 10
Calculated density in g cm⁻³: 8.7
Crystal system: monoclinic


# 12
Below is a PBEsol-optimized structure of Fe5Co3, with properties calculated at the SCAN level.

Structure (CIF):
```
data_Fe5Co3
_space_group_name_H-M_alt 'P 1'
_space_group_IT_number 1
_cell_length_a 3.952
_cell_length_b 3.952
_cell_length_c 5.603
_cell_angle_alpha 90.00
_cell_angle_beta 90.00
_cell_angle_gamma 90.00
loop_
_space_group_symop_operation_xyz
'x,y,z'
loop_
_atom_site_label
_atom_site_type_symbol
_atom_site_fract_x
_atom_site_fract_y
_atom_site_fract_z
_atom_site_occupancy
Fe1 Fe 0.500 0.500 0.500 1
Fe2 Fe 0.500 0.500 0.000 1
Co1 Co 0.000 0.000 0.000 1
Co2 Co 0.000 0.500 0.254 1
Co3 Co 0.500 0.000 0.746 1
Fe3 Fe 0.000 0.000 0.500 1
Fe4 Fe 0.000 0.500 0.755 1
Fe5 Fe 0.500 0.000 0.245 1
```

E above lowest polymorph in meV per atom: 69
Space-group type: P-4m2, No. 115
Calculated density in g cm⁻³: 8.7
Crystal system: tetragonal